Record 1
21
Lattice="5.056 -0.029 -0.025 0.066 7.707 -0.033 0.015 3.521 7.958" Properties=species:S:1:pos:R:3 comment="Li2Al2Si4O13 GGA-PBE optimized geometry" total_energy_ev_per_cell=-150.5 raw_formation_energy_ev_per_fu=-53.1 pbc="T T T"
O 4.937 7.521 7.319
O 1.385 8.169 2.020
O 4.208 7.776 0.540
O 1.509 3.379 7.383
O 2.405 4.059 0.150
Si 3.205 9.399 4.769
O 4.140 9.116 3.459
O 4.311 6.008 3.049
Si 3.409 7.108 6.887
Si 0.865 4.208 0.668
Al 0.633 1.862 2.916
Li 3.298 7.710 2.316
O 3.034 7.969 5.546
Al 3.188 3.894 7.078
Li 0.636 3.051 5.700
O 0.527 3.221 1.869
O 0.738 5.764 1.225
O 3.270 5.541 6.577
O 1.646 2.191 4.336
Si 0.706 7.348 0.777
O 3.802 2.838 5.776



Record 2
28
Lattice="5.000 0.000 0.000 0.000 6.685 0.000 0.000 0.000 10.088" Properties=species:S:1:pos:R:3 comment="LiAlSiO4 GGA-PBE optimized geometry" total_energy_ev_per_cell=-201.6 raw_formation_energy_ev_per_fu=-19.5 e_above_lowest_polymorph_kj_per_mol_atoms=2.62 pbc="T T T"
Al 1.258 0.098 8.356
Al 1.258 3.245 3.312
O 2.140 5.329 8.844
Al 3.758 6.588 1.732
O 1.774 0.463 6.688
Li 1.277 3.441 8.599
O 1.545 1.505 9.422
Li 3.777 3.244 1.489
Si 1.253 1.481 0.947
Al 3.758 3.440 6.777
O 2.024 3.093 6.754
Li 1.277 6.587 3.555
O 4.045 5.181 0.666
O 1.545 1.838 4.378
Li 3.777 0.098 6.533
O 1.774 2.879 1.644
Si 3.752 4.823 4.097
O 4.640 1.357 1.244
O 2.140 4.699 3.800
Si 3.752 5.205 9.141
O 4.045 4.847 5.710
O 4.524 6.436 8.378
O 4.524 3.592 3.334
O 4.274 6.222 3.400
O 4.640 1.986 6.288
O 2.024 0.249 1.710
O 4.274 3.806 8.444
Si 1.253 1.862 5.991



Record 3
84
Lattice="10.593 0.000 0.000 -5.297 9.174 0.000 0.000 0.000 11.392" Properties=species:S:1:pos:R:3 comment="LiAlSiO4 GGA-PBE optimized geometry" total_energy_ev_per_cell=-606.6 raw_formation_energy_ev_per_fu=-19.6 e_above_lowest_polymorph_kj_per_mol_atoms=0.59 pbc="T T T"
O 1.101 5.581 4.736
Al 6.602 2.304 1.899
O 1.091 3.665 0.833
O -1.577 8.286 6.762
O 4.283 3.744 10.454
O 3.671 0.971 10.588
O 1.625 8.203 10.588
Si -3.986 6.904 3.797
O -1.014 5.430 0.939
O 3.720 0.887 4.630
Li 0.000 0.000 5.696
O -1.091 3.665 10.560
O 8.956 0.799 10.359
O 9.082 1.018 4.831
Si 6.649 2.277 7.595
Al 1.329 2.301 1.899
Li 2.648 4.587 11.333
O 2.668 6.396 2.965
Al 5.297 4.566 5.696
O -0.126 1.817 2.764
Al 0.000 4.608 5.696
O 1.511 1.018 6.562
O -3.660 8.375 10.359
Al -1.329 2.301 9.494
O 5.423 7.357 2.764
O -2.668 6.396 8.428
O 1.014 5.430 10.454
Al 7.936 0.000 5.696
Li 2.648 4.587 3.857
Li -2.648 4.587 7.535
O 0.995 3.665 6.790
O -1.625 8.203 0.805
O 0.126 1.817 8.628
O 2.677 2.694 8.400
O 1.577 8.286 4.630
O 7.916 2.694 2.993
O -1.101 5.581 6.656
O 2.620 6.480 8.400
Si 1.352 6.897 3.797
Li 2.648 4.587 7.595
O 6.922 0.971 0.805
O 6.388 5.509 10.560
Al 3.991 2.304 9.494
Si 1.311 2.270 7.595
O 5.170 7.357 8.628
Al -3.968 6.873 9.494
O 6.310 3.744 0.939
Al 2.657 0.000 5.696
O 3.660 8.375 1.033
Li 5.297 0.000 0.000
O 6.874 0.887 6.762
O 1.637 0.799 1.033
Li 5.297 0.000 3.738
Si -1.311 2.270 3.797
O -0.994 3.665 4.602
O 6.291 5.509 4.602
Al 1.306 6.870 9.494
Al 3.968 6.873 1.899
Li -2.648 4.587 0.060
Si 2.622 0.000 0.000
Si 3.944 2.277 3.797
Si -1.352 6.897 7.595
O 6.397 3.593 6.656
O 3.786 8.156 6.562
Al -1.306 6.870 1.899
O 5.209 1.837 2.859
O 7.965 2.778 8.428
O -0.087 7.337 8.533
O 0.087 7.337 2.859
Li 5.297 0.000 7.655
O 4.302 5.509 6.790
O 4.196 3.593 4.736
O 5.384 1.837 8.533
Li -2.648 4.587 3.797
Li 0.000 0.000 9.494
Si 7.972 0.000 0.000
O -3.786 8.156 4.831
Si 0.000 4.554 0.000
O 2.628 2.778 2.965
Si 5.297 4.620 0.000
O -2.620 6.480 2.993
O 4.205 5.509 0.833
Li 0.000 0.000 1.899
Si 3.986 6.904 7.595



Record 4
20
Lattice="-2.951 0.129 -4.110 -3.881 -6.138 2.571 -3.295 7.638 2.647" Properties=species:S:1:pos:R:3 comment="LiAlSi2O6 GGA-PBE optimized geometry" total_energy_ev_per_cell=-148.2 raw_formation_energy_ev_per_fu=-27.9 e_above_lowest_polymorph_kj_per_mol_atoms=2.43 pbc="T T T"
O -2.422 -2.955 1.476
O -6.304 3.940 -0.958
O -3.508 3.359 -1.488
O -2.313 0.513 -2.616
Si -7.317 3.923 0.278
Si -3.310 -2.210 0.317
Al -4.870 4.469 -1.744
Si -8.943 1.418 1.167
O -8.258 -0.056 1.393
Li -3.653 1.881 -2.676
Al -1.727 0.288 -0.949
O -4.842 -2.093 0.886
O -1.679 1.901 -0.192
O -7.232 1.163 4.206
Si -5.963 -2.718 1.894
Li -6.857 -0.010 2.705
O -7.771 2.370 0.564
O -2.748 -0.742 -0.020
O -6.595 4.476 1.635
O -6.093 -1.714 3.183



Record 5
5
Lattice="4.161 0.000 0.000 0.000 4.906 0.000 0.000 0.000 4.906" Properties=species:S:1:pos:R:3 comment="LiSm2AlO GGA-PBE optimized geometry" total_energy_ev_per_cell=-26.6 raw_formation_energy_ev_per_fu=-6.6 pbc="T T T"
Li 2.080 0.000 0.000
O 0.000 0.000 0.000
Sm 0.000 0.000 2.453
Sm 0.000 2.453 0.000
Al 2.080 2.453 2.453



Record 6
20
Lattice="-0.757 -8.469 1.282 5.739 3.233 5.526 -7.622 3.780 1.245" Properties=species:S:1:pos:R:3 comment="LiSm12Al4O3 GGA-PBE optimized geometry" total_energy_ev_per_cell=-105.1 raw_formation_energy_ev_per_fu=-16.7 pbc="T T T"
O 2.491 -2.618 3.404
Sm 0.396 -3.790 4.036
Sm -6.180 -3.458 1.863
O -4.190 -2.344 1.263
Al -1.320 -0.727 4.026
Sm -2.944 -3.653 2.965
Sm -1.388 5.172 4.993
O -0.941 3.507 3.385
Sm -2.200 -1.231 0.663
Sm 0.304 2.198 5.087
Al 2.870 1.617 2.763
Sm 2.020 -0.864 5.097
Sm -4.660 -0.591 2.956
Sm -3.036 2.335 4.017
Al -3.811 1.890 0.622
Sm -0.494 1.841 1.777
Sm 1.308 -1.374 1.787
Li 0.000 0.000 0.000
Sm 3.674 -3.861 5.021
Al -0.379 -4.234 0.641



Record 7
11
Lattice="-4.157 -2.357 -2.786 -3.151 -3.830 2.451 -5.383 1.336 1.410" Properties=species:S:1:pos:R:3 comment="Li2Sm2AlO6 GGA-PBE optimized geometry" total_energy_ev_per_cell=-73.5 raw_formation_energy_ev_per_fu=-26.7 pbc="T T T"
Al 0.000 0.000 0.000
Li -6.977 -1.697 0.863
Li -5.714 -3.154 0.211
Sm -9.219 -3.984 0.651
O -4.686 -3.094 1.626
Sm -3.472 -0.868 0.423
O -8.005 -1.757 -0.552
O -6.957 -4.382 0.104
O -5.236 -2.290 -1.234
O -5.735 -0.470 0.970
O -7.456 -2.561 2.308



Record 8
10
Lattice="-0.874 -0.114 -5.115 0.675 -4.411 -2.650 -4.560 -2.673 -1.795" Properties=species:S:1:pos:R:3 comment="LiAlSn2O6 GGA-PBE optimized geometry" total_energy_ev_per_cell=-63.8 raw_formation_energy_ev_per_fu=-20.4 pbc="T T T"
Al -0.239 -1.553 -2.558
O -0.625 -4.819 -4.123
O -3.303 -3.854 -3.103
Li -2.972 -5.244 -7.276
O -1.413 -1.723 -4.044
Sn -4.333 -2.614 -1.835
O -1.488 -3.321 -6.811
O -3.352 -5.178 -5.321
O -3.996 -2.676 -5.295
Sn -2.073 -3.520 -4.834



Record 9
14
Lattice="-3.253 -4.178 -2.428 0.838 -5.717 1.728 -4.358 -2.574 3.279" Properties=species:S:1:pos:R:3 comment="LiAlSnO4 GGA-PBE optimized geometry" total_energy_ev_per_cell=-90.1 raw_formation_energy_ev_per_fu=-15.6 pbc="T T T"
O -2.940 -8.182 0.403
O -1.906 -3.019 0.760
O -3.245 -7.419 3.138
O -4.867 -9.450 1.819
Al -2.179 -1.287 1.640
O -1.245 -6.006 1.668
Al -3.805 -3.376 0.426
Sn -1.760 -4.145 2.504
O -5.528 -6.463 0.912
Sn 0.000 0.000 0.000
O -3.833 -4.287 2.177
O -3.528 -5.050 -0.559
Li -4.720 -5.983 2.643
Li -2.053 -6.486 -0.064



Record 10
11
Lattice="-2.544 0.117 4.390 -2.348 -1.459 -4.255 1.358 -4.858 0.916" Properties=species:S:1:pos:R:3 comment="Li2Al2SnO6 GGA-PBE optimized geometry" total_energy_ev_per_cell=-70.7 raw_formation_energy_ev_per_fu=-25.6 pbc="T T T"
Al -1.055 -5.792 -0.457
Li -1.799 -2.838 1.966
Li -1.734 -3.363 -0.916
O -0.674 -4.345 0.777
O -2.970 -4.682 2.389
O -2.859 -1.856 0.274
O -0.551 -3.789 3.544
Al -2.479 -0.409 1.508
Sn 0.000 0.000 0.000
O -2.983 -2.412 -2.493
O -0.564 -1.518 -1.338



Record 11
10
Lattice="-3.740 0.442 -3.368 0.602 -1.776 -4.691 -2.695 -4.452 -1.381" Properties=species:S:1:pos:R:3 comment="LiAl2SnO6 GGA-PBE optimized geometry" total_energy_ev_per_cell=-64.6 raw_formation_energy_ev_per_fu=-21.5 pbc="T T T"
O -3.550 -1.798 -6.286
O -2.908 -4.450 -5.717
Al -2.837 -2.698 -4.783
Li -4.102 -3.674 -7.297
Sn -1.185 -0.781 -2.577
Al -2.634 -4.302 -1.430
O -2.878 -1.207 -3.621
O -1.023 -2.511 -5.282
O -4.670 -3.247 -4.249
O -2.363 -3.872 -3.252



Record 12
5
Lattice="5.327 0.000 0.000 0.000 5.327 0.000 0.000 0.000 4.102" Properties=species:S:1:pos:R:3 comment="Sr2LiAlO GGA-PBE optimized geometry" total_energy_ev_per_cell=-19.1 raw_formation_energy_ev_per_fu=-5.2 pbc="T T T"
Al 2.663 2.663 2.051
Sr 0.000 2.663 0.000
O 0.000 0.000 0.000
Li 0.000 0.000 2.051
Sr 2.663 0.000 0.000



Record 13
8
Lattice="5.093 0.000 0.000 2.547 4.141 0.352 2.547 0.690 4.098" Properties=species:S:1:pos:R:3 comment="Li2TbAlO4 GGA-PBE optimized geometry" total_energy_ev_per_cell=-54.2 raw_formation_energy_ev_per_fu=-22.1 pbc="T T T"
O 6.165 2.387 3.656
O 4.021 0.992 2.371
Li 2.546 1.208 1.113
Al 5.093 2.416 2.225
O 6.165 2.445 0.795
Li 7.639 3.624 3.338
O 4.021 3.839 2.079
Tb 2.547 4.141 0.352



Record 14
5
Lattice="4.111 0.000 0.000 0.000 4.803 0.000 0.000 0.000 4.803" Properties=species:S:1:pos:R:3 comment="LiTb2AlO GGA-PBE optimized geometry" total_energy_ev_per_cell=-26.7 raw_formation_energy_ev_per_fu=-6.8 pbc="T T T"
O 0.000 0.000 0.000
Tb 0.000 2.402 0.000
Li 2.056 0.000 0.000
Tb 0.000 0.000 2.402
Al 2.056 2.402 2.402



Record 15
8
Lattice="4.799 0.096 -0.343 0.087 4.264 0.141 -2.770 -2.028 4.954" Properties=species:S:1:pos:R:3 comment="Li2AlTeO4 GGA-PBE optimized geometry" total_energy_ev_per_cell=-44.7 raw_formation_energy_ev_per_fu=-14.2 pbc="T T T"
Te 2.278 1.691 2.079
O 1.132 3.131 1.152
Li -0.114 -0.014 2.372
Li -0.379 -1.866 4.519
O -1.646 -0.438 3.637
O 0.939 1.261 3.646
Al 2.080 0.239 4.612
O 3.833 1.181 0.605



Record 16
12
Lattice="5.743 0.263 0.000 -2.311 5.264 0.000 -1.716 -2.764 4.740" Properties=species:S:1:pos:R:3 comment="LiAlTe2O8 GGA-PBE optimized geometry" total_energy_ev_per_cell=-65.1 raw_formation_energy_ev_per_fu=-13.5 pbc="T T T"
O 0.239 2.287 1.004
O 1.399 -0.454 1.428
O 3.000 -1.447 3.312
O 3.193 3.240 1.004
O 2.743 1.711 3.312
Te 2.871 0.132 2.370
O 4.343 0.717 1.428
Te 1.716 2.764 0.000
Li 0.000 0.000 0.000
O -0.228 1.535 3.736
Al -1.155 2.632 2.370
O 0.228 -1.535 3.736



Record 17
20
Lattice="5.292 0.611 0.634 2.382 8.674 -1.949 2.382 -2.269 8.596" Properties=species:S:1:pos:R:3 comment="LiAlTe2O6 GGA-PBE optimized geometry" total_energy_ev_per_cell=-116.9 raw_formation_energy_ev_per_fu=-16.8 pbc="T T T"
Al 3.705 0.051 6.666
Te 2.249 3.483 1.167
Te 4.895 1.343 3.841
Li 6.351 0.398 6.943
O 3.017 1.504 3.679
O 5.051 6.736 1.823
O 2.359 5.139 0.165
Li 3.705 6.618 0.338
O 5.333 6.860 -0.824
O 5.005 0.280 5.459
Te 7.807 3.533 6.114
O 4.724 0.156 8.105
O 4.394 3.090 5.325
Te 5.161 5.673 3.440
O 2.687 -1.383 6.508
O 7.040 5.512 3.602
Al 6.351 6.965 0.616
O 5.663 3.926 1.956
O 7.370 8.400 0.773
O 7.697 1.877 7.116